1.
## MgHgPb2 (PBE)

Data for crystalline MgHgPb2 at its relaxed geometry.

```
8
Lattice="-3.730 2.703 7.127 5.753 -4.206 4.606 2.902 1.841 5.873" Properties=species:S:1:pos:R:3 pbc="T T T"
Hg 0.000 0.000 0.000
Hg 0.092 1.896 9.433
Mg 4.833 -1.559 8.173
Mg 1.012 -0.752 5.866
Pb 3.961 0.054 14.683
Pb 2.920 0.827 8.793
Pb -0.896 1.630 6.516
Pb 3.864 -1.838 5.220
```

Summary:
V, Å³/atom: 28.9
Density of states at the Fermi level, states/eV/f.u.: 2.45
Space-group type: I-42d (122)
M_tot, μB/f.u.: 0.00

2.
## Mg12HgPb3 (PBE)

Data for crystalline Mg12HgPb3 at its relaxed geometry.

```
16
Lattice="-1.310 4.031 -1.526 -2.822 0.404 3.488 13.287 8.034 9.817" Properties=species:S:1:pos:R:3 pbc="T T T"
Mg 3.538 3.195 5.401
Mg 7.683 7.057 5.397
Mg 6.927 5.244 7.905
Mg 1.184 4.183 3.382
Mg 0.145 1.143 2.894
Mg 11.077 9.109 7.904
Mg 4.294 5.008 2.893
Mg 0.901 2.956 0.386
Mg -2.066 2.218 0.981
Mg 7.972 8.287 8.397
Mg 10.320 7.295 10.412
Mg 4.578 6.235 5.889
Pb 10.023 6.061 7.405
Pb 6.644 4.017 4.909
Pb 3.264 1.974 2.412
Hg 0.000 0.000 0.000
```

Summary:
V, Å³/atom: 23.3
Density of states at the Fermi level, states/eV/f.u.: 5.28
Space-group type: P4/mmm (123)
M_tot, μB/f.u.: 0.00

3.
## Mg2Hg3Pb (PBE)

Data for crystalline Mg2Hg3Pb at its relaxed geometry.

```
6
Lattice="3.417 0.000 0.000 0.000 3.417 0.000 0.000 0.000 12.159" Properties=species:S:1:pos:R:3 pbc="T T T"
Hg 0.000 0.000 3.647
Hg 0.000 0.000 0.000
Hg 0.000 0.000 8.512
Mg 1.709 1.709 1.852
Mg 1.709 1.709 10.307
Pb 1.709 1.709 6.080
```

Summary:
V, Å³/atom: 23.7
Density of states at the Fermi level, states/eV/f.u.: 2.22
Space-group type: P4/mmm (123)
M_tot, μB/f.u.: 0.00

4.
## Mg2HgPb8 (PBE)

Data for crystalline Mg2HgPb8 at its relaxed geometry.

```
11
Lattice="4.895 0.000 0.000 0.000 7.313 0.113 -2.447 -2.996 9.175" Properties=species:S:1:pos:R:3 pbc="T T T"
Pb 0.000 1.021 3.835
Pb 2.447 6.162 2.943
Pb 2.447 -0.928 8.741
Pb 0.000 -1.844 6.346
Pb 0.000 1.510 7.313
Pb 0.000 5.245 0.547
Pb 2.447 3.296 5.453
Pb 2.447 2.808 1.975
Mg 2.447 0.067 5.732
Mg 0.000 4.251 3.556
Hg 2.447 0.000 0.000
```

Summary:
V, Å³/atom: 30.0
Density of states at the Fermi level, states/eV/f.u.: 4.68
Space-group type: C2/m (12)
M_tot, μB/f.u.: 0.00

5.
## Mg8HgPb2 (PBE)

Data for crystalline Mg8HgPb2 at its relaxed geometry.

```
11
Lattice="-2.993 -1.119 -3.984 -4.283 -3.228 4.123 -0.266 8.742 1.018" Properties=species:S:1:pos:R:3 pbc="T T T"
Hg -1.496 -0.560 -1.992
Mg -5.757 -1.117 1.364
Mg -3.845 3.960 1.776
Mg -1.053 -0.794 1.014
Mg -3.697 0.436 -0.619
Mg -1.390 2.338 0.387
Mg -6.152 2.057 0.770
Mg -6.488 5.189 0.143
Mg -1.785 5.512 -0.208
Pb -3.997 3.647 -1.296
Pb -3.545 0.748 2.453
```

Summary:
V, Å³/atom: 24.2
Density of states at the Fermi level, states/eV/f.u.: 4.09
Energy relative to the lowest polymorph listed for this composition, kJ per mole of atoms: 2.02
Space-group type: Immm (71)
M_tot, μB/f.u.: 0.00

6.
## Mg3Hg4Pb (PBE)

Data for crystalline Mg3Hg4Pb at its relaxed geometry.

```
16
Lattice="4.916 0.000 0.000 0.000 7.747 0.000 0.000 0.000 9.836" Properties=species:S:1:pos:R:3 pbc="T T T"
Pb 0.000 3.874 4.918
Pb 0.000 3.874 0.000
Hg 2.458 1.783 4.918
Hg 2.458 5.964 0.000
Hg 4.912 1.784 7.377
Hg 0.003 1.784 2.459
Hg 2.458 1.783 0.000
Hg 0.003 5.963 2.459
Hg 2.458 5.964 4.918
Hg 4.912 5.963 7.377
Mg 0.000 0.000 4.918
Mg 0.000 0.000 0.000
Mg 2.455 0.000 7.377
Mg 2.460 3.874 2.459
Mg 2.455 3.874 7.377
Mg 2.460 0.000 2.459
```

Summary:
V, Å³/atom: 23.4
Density of states at the Fermi level, states/eV/f.u.: 1.87
Space-group type: P4/mmm (123)
M_tot, μB/f.u.: 0.00

7.
## MgHg7Pb2 (PBE)

Data for crystalline MgHg7Pb2 at its relaxed geometry.

```
10
Lattice="3.240 0.485 -0.162 1.166 8.122 -3.351 -0.805 -3.939 12.248" Properties=species:S:1:pos:R:3 pbc="T T T"
Hg 3.004 7.507 -1.136
Hg 2.203 4.303 -1.756
Hg 2.829 1.180 4.750
Hg 0.773 3.488 3.985
Hg 1.241 2.497 0.999
Hg 2.361 2.171 7.736
Hg 0.597 -2.839 9.872
Mg 0.000 0.000 0.000
Pb 1.656 5.641 1.339
Pb 1.945 -0.973 7.397
```

Summary:
V, Å³/atom: 27.4
Density of states at the Fermi level, states/eV/f.u.: 3.64
Space-group type: P-1 (2)
M_tot, μB/f.u.: 0.00

8.
## Mg2HgPb (PBE)

Data for crystalline Mg2HgPb at its relaxed geometry.

```
4
Lattice="6.084 -0.042 -0.169 3.027 5.278 0.169 -4.214 -3.213 2.995" Properties=species:S:1:pos:R:3 pbc="T T T"
Mg 3.255 -0.294 1.413
Mg 0.168 0.097 0.000
Pb 4.460 2.563 0.000
Hg 1.570 2.276 1.582
```

Summary:
V, Å³/atom: 24.5
Density of states at the Fermi level, states/eV/f.u.: 1.56
Energy relative to the lowest polymorph listed for this composition, kJ per mole of atoms: 6.04
Space-group type: Imm2 (44)
M_tot, μB/f.u.: 0.00

9.
## Mg2HgPb (PBE)

Data for crystalline Mg2HgPb at its relaxed geometry.

```
4
Lattice="-2.710 1.082 -2.037 -2.176 -3.940 0.801 -2.671 2.464 4.863" Properties=species:S:1:pos:R:3 pbc="T T T"
Pb -1.268 1.169 2.308
Mg -3.147 -0.779 0.665
Mg -2.597 2.395 4.728
Hg -4.552 0.516 3.222
```

Summary:
V, Å³/atom: 24.7
Density of states at the Fermi level, states/eV/f.u.: 1.42
Energy relative to the lowest polymorph listed for this composition, kJ per mole of atoms: 5.83
Space-group type: Pmm2 (25)
M_tot, μB/f.u.: 0.00

10.
## Mg2HgPb (PBE)

Data for crystalline Mg2HgPb at its relaxed geometry.

```
4
Lattice="0.000 3.622 3.622 3.622 0.000 3.622 3.622 3.622 0.000" Properties=species:S:1:pos:R:3 pbc="T T T"
Mg 5.433 5.433 5.433
Mg 1.811 1.811 1.811
Hg 0.000 0.000 0.000
Pb 3.622 3.622 3.622
```

Summary:
V, Å³/atom: 23.8
Density of states at the Fermi level, states/eV/f.u.: 0.10
Energy relative to the lowest polymorph listed for this composition, kJ per mole of atoms: 2.24
Space-group type: Fm-3m (225)
M_tot, μB/f.u.: 0.00

11.
## Mg7HgPb4 (PBE)

Data for crystalline Mg7HgPb4 at its relaxed geometry.

```
12
Lattice="-2.345 4.677 -1.176 -2.837 -0.499 -8.555 -7.386 -0.135 1.967" Properties=species:S:1:pos:R:3 pbc="T T T"
Mg -7.738 1.269 -3.975
Mg -4.176 0.880 -0.400
Mg -9.323 4.016 -2.112
Mg -8.392 3.163 -7.363
Mg -3.244 0.027 -5.652
Mg -1.173 2.338 -0.588
Mg -4.830 2.774 -3.788
Pb -6.667 2.457 -1.384
Pb -2.466 1.108 -2.903
Pb -10.102 2.935 -4.860
Pb -5.901 1.585 -6.380
Hg 0.000 0.000 0.000
```

Summary:
V, Å³/atom: 27.5
Density of states at the Fermi level, states/eV/f.u.: 5.36
Energy relative to the lowest polymorph listed for this composition, kJ per mole of atoms: 6.76
Space-group type: C2/m (12)
M_tot, μB/f.u.: 0.00

12.
## Mg2HgPb (PBE)

Data for crystalline Mg2HgPb at its relaxed geometry.

```
4
Lattice="-0.150 1.088 -3.295 -2.291 -2.582 -0.748 -8.065 2.257 1.113" Properties=species:S:1:pos:R:3 pbc="T T T"
Pb -2.664 0.463 -1.556
Mg -5.330 -0.019 0.237
Mg -7.913 2.114 1.058
Hg -7.842 0.300 -1.374
```

Summary:
V, Å³/atom: 23.8
Density of states at the Fermi level, states/eV/f.u.: 1.42
Energy relative to the lowest polymorph listed for this composition, kJ per mole of atoms: 0.00
Space-group type: P2/m (10)
M_tot, μB/f.u.: 0.00

Which ΔH_f (0 K) belongs to each record? In order, 110 -76 -136 27 -47 -125 -18 -82 -84 -121 26 -145 meV/atom.